LaTePbN2 after structural relaxation, computed with PBE.

The uncorrected formation energy is 501 meV per atom.

The space group is P4/mmm (No. 123) and the conventional cell measures 4.461, 4.461 and 6.674 Å, with angles of 90.00, 90.00 and 90.00 degrees. The distinct sites, in fractional coordinates, are La at (0.000, 0.000, 0.000), Te at (0.000, 0.000, 0.500), Pb at (0.500, 0.500, 0.500) and N at (0.000, 0.500, 0.000).

***

LaTePb2N after structural relaxation, computed with PBE.

The uncorrected formation energy is 1237 meV per atom.

The space group is P4/mmm (No. 123) and the conventional cell measures 5.864, 5.864 and 5.989 Å, with angles of 90.00, 90.00 and 90.00 degrees. The distinct sites, in fractional coordinates, are La at (0.000, 0.000, 0.000), Te at (0.000, 0.000, 0.500), Pb at (0.000, 0.500, 0.500) and N at (0.500, 0.500, 0.000).

***

E_tot for every record listed, in sequence, given in eV per atom: -5.184; -3.525.